18
Lattice="7.9623 -5.1756 0.0000 7.9623 5.1756 0.0000 -2.5925 0.0000 6.1235" Properties=species:S:1:pos:R:3 comment="PaP2Se6 (GGA-PBE, relaxed)" rho_g_cm3=5.05 crystal_system=monoclinic formation_energy_uncorrected_ev_per_atom=-0.404 magmom_total_mub_per_fu=0.000 pbc="T T T"
Pa 6.0179 3.9032 4.5926
Pa 7.3141 -3.9032 1.5309
P 3.9167 0.6723 2.8397
P 2.6204 -0.6723 5.9015
P 10.7116 0.6723 0.2220
P 9.4153 -0.6723 3.2838
Se 1.6255 0.7529 0.1086
Se 4.5942 2.7433 2.3194
Se 0.3293 -0.7529 3.1703
Se 4.4607 0.6709 5.0919
Se 10.0341 2.7433 0.7424
Se 5.7569 -0.6709 2.0302
Se 7.5751 0.6709 4.0933
Se 3.2980 -2.7433 5.3811
Se 8.8714 -0.6709 1.0316
Se 13.0027 0.7529 2.9532
Se 8.7378 -2.7433 3.8041
Se 11.7065 -0.7529 6.0149

---

12
Lattice="6.6558 -1.9739 0.0000 6.6558 1.9739 0.0000 -3.0186 0.0000 11.7616" Properties=species:S:1:pos:R:3 comment="Ho4ErSe7 (GGA-PBE, relaxed)" rho_g_cm3=7.41 crystal_system=monoclinic formation_energy_uncorrected_ev_per_atom=-1.849 magmom_total_mub_per_fu=0.000 pbc="T T T"
Ho 0.0000 0.0000 0.0000
Ho 0.1799 0.0000 9.0010
Ho 6.6463 0.0000 4.5908
Ho 10.0693 0.0000 6.7900
Er 9.8394 0.0000 1.8280
Se 1.2680 0.0000 2.6504
Se 1.4372 0.0000 6.2027
Se 4.9108 0.0000 0.9147
Se 5.3878 0.0000 7.3857
Se 5.5681 0.0000 10.9421
Se 8.8883 0.0000 9.3274
Se 11.2486 0.0000 4.2510

---

8
Lattice="-2.0557 2.0557 8.0633 2.0557 -2.0557 8.0633 2.0557 2.0557 -8.0633" Properties=species:S:1:pos:R:3 comment="CoGe2Au (GGA-PBE, relaxed)" rho_g_cm3=9.78 crystal_system=tetragonal magmom_total_mub_per_fu=0.530 e_form_ev_per_atom=0.13 pbc="T T T"
Co 0.0000 0.0000 0.0000
Co 0.0000 2.0557 4.0316
Ge 3.0835 0.8535 -2.0158
Ge 0.8535 1.0278 2.0158
Ge -1.0278 1.2022 6.0475
Ge 1.2022 1.0278 10.0791
Au 2.0557 0.0000 4.0316
Au 0.0000 0.0000 8.0633

---

10
Lattice="4.3088 0.0000 0.0000 0.0000 4.3088 0.0000 0.0000 0.0000 10.7570" Properties=species:S:1:pos:R:3 comment="Th2Al4InPt3 (GGA-PBE, relaxed)" rho_g_cm3=10.58 crystal_system=tetragonal magmom_total_mub_per_fu=0.000 e_form_ev_per_atom=-0.94 pbc="T T T"
Th 0.0000 2.1544 2.5753
Th 2.1544 0.0000 8.1817
Al 0.0000 0.0000 0.0000
Al 0.0000 2.1544 6.9459
Al 2.1544 0.0000 3.8111
Al 2.1544 2.1544 0.0000
In 0.0000 0.0000 5.3785
Pt 0.0000 2.1544 9.3894
Pt 2.1544 0.0000 1.3676
Pt 2.1544 2.1544 5.3785

---

4
Lattice="0.0000 3.3884 3.3884 3.3884 0.0000 3.3884 3.3884 3.3884 0.0000" Properties=species:S:1:pos:R:3 comment="MoAuCl2 (GGA-PBE, relaxed)" rho_g_cm3=7.76 crystal_system=cubic formation_energy_uncorrected_ev_per_atom=0.669 magmom_total_mub_per_fu=3.344 pbc="T T T"
Mo 0.0000 0.0000 0.0000
Au 3.3884 3.3884 3.3884
Cl 1.6942 1.6942 1.6942
Cl 5.0826 5.0826 5.0826

---

8
Lattice="-4.7593 5.9218 2.4450 4.7593 -5.9218 2.4450 4.7593 5.9218 -2.4450" Properties=species:S:1:pos:R:3 comment="MoSe2Cl5 (GGA-PBE, relaxed)" rho_g_cm3=2.60 crystal_system=orthorhombic formation_energy_uncorrected_ev_per_atom=-0.408 magmom_total_mub_per_fu=1.179 pbc="T T T"
Mo 0.0000 0.0000 0.0000
Se 4.7593 0.0000 1.3014
Se 0.0000 5.9218 1.0580
Cl 1.6483 1.6371 -0.0008
Cl 7.8703 1.6371 -0.0008
Cl 0.0000 0.0000 2.4434
Cl -3.1110 4.2847 2.4442
Cl 3.1110 4.2847 2.4442